(1)
# Mg2HgAuSe | Alexandria via LeMat-Bulk | PBE | relaxed
data_Mg2HgAuSe
_cell_length_a 5.150
_cell_length_b 5.150
_cell_length_c 5.192
_cell_angle_alpha 90.00
_cell_angle_beta 90.00
_cell_angle_gamma 90.00
_symmetry_space_group_name_H-M 'P 4/m m m'
_symmetry_Int_Tables_number 123
_symmetry_space_group_name_Hall '-P 4 2'
loop_
_atom_site_label
_atom_site_fract_x
_atom_site_fract_y
_atom_site_fract_z
_atom_site_occupancy
Mg1 0.000 0.500 0.000 1
Hg1 0.000 0.000 0.500 1
Au1 0.000 0.000 0.000 1
Se1 0.500 0.500 0.500 1
# Formation energy from raw total energies ... -55.7 meV per atom
# Crystal system ... tetragonal
# M_tot ... 0.000 μB/f.u.

(2)
# YCu2 | Alexandria via LeMat-Bulk | PBE | relaxed
data_YCu2
_cell_length_a 5.019
_cell_length_b 5.019
_cell_length_c 8.977
_cell_angle_alpha 90.00
_cell_angle_beta 90.00
_cell_angle_gamma 90.00
_symmetry_space_group_name_H-M 'I 4/m c m'
_symmetry_Int_Tables_number 140
_symmetry_space_group_name_Hall '-I 4 2c'
loop_
_atom_site_label
_atom_site_fract_x
_atom_site_fract_y
_atom_site_fract_z
_atom_site_occupancy
Y1 0.000 0.000 0.250 1
Cu1 0.165 0.335 0.000 1
# Crystal system ... tetragonal
# M_tot ... 0.000 μB/f.u.
# Formation energy from the elements ... -0.11 eV/f.u.

(3)
# PmZrGaPd | Alexandria via LeMat-Bulk | PBE | relaxed
data_PmZrGaPd
_cell_length_a 7.016
_cell_length_b 7.016
_cell_length_c 7.016
_cell_angle_alpha 90.00
_cell_angle_beta 90.00
_cell_angle_gamma 90.00
_symmetry_space_group_name_H-M 'F -4 3 m'
_symmetry_Int_Tables_number 216
_symmetry_space_group_name_Hall 'F -4 2 3'
loop_
_atom_site_label
_atom_site_fract_x
_atom_site_fract_y
_atom_site_fract_z
_atom_site_occupancy
Pm1 0.000 0.000 0.000 1
Zr1 0.000 0.000 0.500 1
Ga1 0.250 0.250 0.250 1
Pd1 0.250 0.250 0.750 1
# Crystal system ... cubic
# M_tot ... 0.604 μB/f.u.
# Formation energy from the elements ... -1.85 eV/f.u.